Entry 1:
ZrBe4In | PBE-GGA | optimized geometry

Properties
The formation enthalpy at 0 K comes out at 167 meV per atom.

CIF file:
```
data_ZrBe4In
_chemical_formula_sum 'Zr4 Be16 In4'
_cell_length_a 6.7948
_cell_length_b 6.7948
_cell_length_c 6.7948
_cell_angle_alpha 90.00
_cell_angle_beta 90.00
_cell_angle_gamma 90.00
_space_group_name_H-M_alt 'F -4 3 m'
_space_group_IT_number 216
_space_group_name_Hall 'F -4 2 3'
loop_
_atom_site_label
_atom_site_type_symbol
_atom_site_fract_x
_atom_site_fract_y
_atom_site_fract_z
_atom_site_occupancy
Zr1 Zr 0.0000 0.0000 0.0000 1
Be1 Be 0.1324 0.1324 0.6324 1
In1 In 0.2500 0.2500 0.2500 1
```



Entry 2:
TcTe3 | PBE-GGA | optimized geometry

Properties
Its energy above the most stable polymorph in this dataset is 323 meV per atom. As for the formation energy without anion corrections: 0.353 eV/atom.

CIF file:
```
data_TcTe3
_chemical_formula_sum 'Tc4 Te12'
_cell_length_a 4.9571
_cell_length_b 4.9571
_cell_length_c 22.9353
_cell_angle_alpha 90.00
_cell_angle_beta 90.00
_cell_angle_gamma 90.00
_space_group_name_H-M_alt 'I 4/m m m'
_space_group_IT_number 139
_space_group_name_Hall '-I 4 2'
loop_
_atom_site_label
_atom_site_type_symbol
_atom_site_fract_x
_atom_site_fract_y
_atom_site_fract_z
_atom_site_occupancy
Tc1 Tc 0.0000 0.0000 0.2052 1
Te1 Te 0.0000 0.0000 0.0992 1
Te2 Te 0.0000 0.5000 0.0000 1
Te3 Te 0.0000 0.5000 0.2500 1
```



Entry 3:
BaNaC | PBE-GGA | optimized geometry

Properties
The formation enthalpy at 0 K comes out at 65 meV per atom.

CIF file:
```
data_BaNaC
_chemical_formula_sum 'Ba4 Na4 C4'
_cell_length_a 8.1435
_cell_length_b 4.2384
_cell_length_c 12.8245
_cell_angle_alpha 90.00
_cell_angle_beta 96.41
_cell_angle_gamma 90.00
_space_group_name_H-M_alt 'C 1 2/m 1'
_space_group_IT_number 12
_space_group_name_Hall '-C 2y'
loop_
_atom_site_label
_atom_site_type_symbol
_atom_site_fract_x
_atom_site_fract_y
_atom_site_fract_z
_atom_site_occupancy
Ba1 Ba 0.1102 0.0000 0.3659 1
Na1 Na 0.1368 0.5000 0.8998 1
C1 C 0.0710 0.5000 0.5281 1
```



Entry 4:
Y2P2W | PBE-GGA | optimized geometry

Properties
The formation enthalpy at 0 K comes out at -828 meV per atom.

CIF file:
```
data_Y2P2W
_chemical_formula_sum 'Y4 P4 W2'
_cell_length_a 6.7544
_cell_length_b 6.7544
_cell_length_c 4.0964
_cell_angle_alpha 90.00
_cell_angle_beta 90.00
_cell_angle_gamma 90.00
_space_group_name_H-M_alt 'P 4/m b m'
_space_group_IT_number 127
_space_group_name_Hall '-P 4 2ab'
loop_
_atom_site_label
_atom_site_type_symbol
_atom_site_fract_x
_atom_site_fract_y
_atom_site_fract_z
_atom_site_occupancy
Y1 Y 0.1713 0.3287 0.0000 1
P1 P 0.1400 0.6400 0.5000 1
W1 W 0.0000 0.0000 0.5000 1
```